(1)
Computed, not measured: NdTl2GeSe4 after structural relaxation at the GGA-PBE level of DFT.

Output
The value obtained for the formation energy (no corrections) is -0.7561 eV/atom.

a = 8.586 Å, b = 8.666 Å, c = 12.273 Å
α = 90.00°, β = 90.00°, γ = 90.00°
Space group Imma (No. 74)
Inequivalent atoms, fractional coordinates:
Nd1 0.250 0.250 0.250 [4 per cell]
Tl1 0.000 0.000 0.000 [4 per cell]
Tl2 0.250 0.250 0.750 [4 per cell]
Ge1 0.000 0.000 0.500 [4 per cell]
Se1 0.000 0.018 0.267 [8 per cell]
Se2 0.220 0.250 0.491 [8 per cell]

=====

(2)
Computed, not measured: RbTe3Au after structural relaxation at the GGA-PBE level of DFT.

Output
The value obtained for the formation energy (no corrections) is -0.2320 eV/atom.

a = 6.8189 Å, b = 6.8189 Å, c = 13.1137 Å
α = 90.00°, β = 90.00°, γ = 120.00°
Space group R3m (No. 160, hexagonal axes)
Inequivalent atoms, fractional coordinates:
Rb1 0.0000 0.0000 0.0000 [3 per cell]
Te1 0.0033 0.5016 0.0954 [9 per cell]
Au1 0.0000 0.0000 0.5967 [3 per cell]